# Pm4CuPd

An optimized crystal structure of Pm4CuPd (PBE, the Alexandria database).

Calculated values
Crystal system   tetragonal
E_form   -134 meV/atom

a b c (Å): 4.9719 4.9719 7.0724
angles (deg): 90.00 90.00 90.00
With the nearest neighbours (Å) after each atom.
Fractional coordinates of all 6 atoms:
Pm (0.0000, 0.5000, 0.2450)  2 Cu 3.03, 2 Pd 3.07
Pm (0.0000, 0.5000, 0.7550)  2 Cu 3.03, 2 Pd 3.07
Pm (0.5000, 0.0000, 0.2450)  2 Cu 3.03, 2 Pd 3.07
Pm (0.5000, 0.0000, 0.7550)  2 Cu 3.03, 2 Pd 3.07
Cu (0.0000, 0.0000, 0.0000)  8 Pm 3.03
Pd (0.5000, 0.5000, 0.5000)  8 Pm 3.07


# Pm2Cu5Pd12

An optimized crystal structure of Pm2Cu5Pd12 (PBE, the Alexandria database).

Calculated values
Crystal system   trigonal
E_form   -351 meV/atom

a b c (Å): 6.8534 6.8534 6.8534
angles (deg): 82.08 82.08 82.08
With the nearest neighbours (Å) after each atom.
Fractional coordinates of all 19 atoms:
Pm (0.1609, 0.1609, 0.1609)  12 Pd 3.18-3.32, 4 Cu 3.30-3.48
Pm (0.8391, 0.8391, 0.8391)  12 Pd 3.18-3.32, 4 Cu 3.30-3.48
Cu (0.0000, 0.5000, 0.5000)  8 Pd 2.56-2.62, 2 Cu 2.78
Cu (0.4068, 0.4068, 0.4068)  4 Cu 2.50-2.78, 3 Pd 2.77
Cu (0.5000, 0.0000, 0.5000)  8 Pd 2.56-2.62, 2 Cu 2.78
Cu (0.5000, 0.5000, 0.0000)  8 Pd 2.56-2.62, 2 Cu 2.78
Cu (0.5932, 0.5932, 0.5932)  4 Cu 2.50-2.78, 3 Pd 2.77
Pd (0.1574, 0.1574, 0.6397)  3 Cu 2.56-2.77, 6 Pd 2.72-2.79
Pd (0.1574, 0.6397, 0.1574)  3 Cu 2.56-2.77, 6 Pd 2.72-2.79
Pd (0.2028, 0.5000, 0.7973)  2 Cu 2.62, 6 Pd 2.68-2.79
Pd (0.2028, 0.7973, 0.5000)  2 Cu 2.62, 6 Pd 2.68-2.79
Pd (0.3603, 0.8426, 0.8426)  3 Cu 2.56-2.77, 6 Pd 2.72-2.79
Pd (0.5000, 0.2028, 0.7972)  2 Cu 2.62, 6 Pd 2.68-2.79
Pd (0.5000, 0.7972, 0.2028)  2 Cu 2.62, 6 Pd 2.68-2.79
Pd (0.6397, 0.1574, 0.1574)  3 Cu 2.56-2.77, 6 Pd 2.72-2.79
Pd (0.7972, 0.2028, 0.5000)  2 Cu 2.62, 6 Pd 2.68-2.79
Pd (0.7972, 0.5000, 0.2028)  2 Cu 2.62, 6 Pd 2.68-2.79
Pd (0.8426, 0.3603, 0.8426)  3 Cu 2.56-2.77, 6 Pd 2.72-2.79
Pd (0.8426, 0.8426, 0.3603)  3 Cu 2.56-2.77, 6 Pd 2.72-2.79


# Pm3CuPd3

An optimized crystal structure of Pm3CuPd3 (PBE, the Alexandria database).

Calculated values
Crystal system   hexagonal
E_form   -431 meV/atom

a b c (Å): 8.5956 8.5956 5.7553
angles (deg): 90.00 90.00 120.00
With the nearest neighbours (Å) after each atom.
Fractional coordinates of all 14 atoms:
Pm (0.0576, 0.6750, 0.2500)  5 Pd 2.89-2.94, 1 Cu 3.17
Pm (0.3250, 0.3826, 0.2500)  5 Pd 2.89-2.94, 1 Cu 3.17
Pm (0.3826, 0.0576, 0.7500)  5 Pd 2.89-2.94, 1 Cu 3.17
Pm (0.6174, 0.9424, 0.2500)  5 Pd 2.89-2.94, 1 Cu 3.17
Pm (0.6750, 0.6174, 0.7500)  5 Pd 2.89-2.94, 1 Cu 3.17
Pm (0.9424, 0.3250, 0.7500)  5 Pd 2.89-2.94, 1 Cu 3.17
Cu (0.3333, 0.6667, 0.7500)  3 Pd 2.61
Cu (0.6667, 0.3333, 0.2500)  3 Pd 2.61
Pd (0.0512, 0.7056, 0.7500)  1 Cu 2.61, 3 Pm 2.89-2.92
Pd (0.2944, 0.3456, 0.7500)  1 Cu 2.61, 3 Pm 2.89-2.92
Pd (0.3456, 0.0512, 0.2500)  1 Cu 2.61, 3 Pm 2.89-2.92
Pd (0.6544, 0.9488, 0.7500)  1 Cu 2.61, 3 Pm 2.89-2.92
Pd (0.7056, 0.6544, 0.2500)  1 Cu 2.61, 3 Pm 2.89-2.92
Pd (0.9488, 0.2944, 0.2500)  1 Cu 2.61, 3 Pm 2.89-2.92


# PmCuPd

An optimized crystal structure of PmCuPd (PBE, the Alexandria database).

Calculated values
Crystal system   hexagonal
E_form   -550 meV/atom

a b c (Å): 4.3876 4.3876 7.4487
angles (deg): 90.00 90.00 120.00
With the nearest neighbours (Å) after each atom.
Fractional coordinates of all 6 atoms:
Pm (0.0000, 0.0000, 0.0000)  6 Cu 3.14, 6 Pd 3.14
Pm (0.0000, 0.0000, 0.5000)  6 Cu 3.14, 6 Pd 3.14
Cu (0.3333, 0.6667, 0.2500)  3 Pd 2.53
Cu (0.6667, 0.3333, 0.7500)  3 Pd 2.53
Pd (0.3333, 0.6667, 0.7500)  3 Cu 2.53
Pd (0.6667, 0.3333, 0.2500)  3 Cu 2.53


# Pm2Cu3Pd

An optimized crystal structure of Pm2Cu3Pd (PBE, the Alexandria database).

Calculated values
Crystal system   orthorhombic
E_form   -383 meV/atom

a b c (Å): 3.7264 4.3143 7.5310
angles (deg): 90.00 90.00 90.00
With the nearest neighbours (Å) after each atom.
Fractional coordinates of all 6 atoms:
Pm (0.0000, 0.0000, 0.0000)  10 Cu 3.07-3.13, 2 Pd 3.13
Pm (0.0000, 0.5000, 0.4960)  4 Pd 3.10, 8 Cu 3.12-3.19
Cu (0.5000, 0.0000, 0.6749)  2 Cu 2.45, 1 Pd 2.57
Cu (0.5000, 0.5000, 0.1522)  1 Cu 2.44, 2 Pd 2.56
Cu (0.5000, 0.5000, 0.8282)  3 Cu 2.44-2.45
Pd (0.5000, 0.0000, 0.3342)  3 Cu 2.56-2.57


# PmCuPd4

An optimized crystal structure of PmCuPd4 (PBE, the Alexandria database).

Calculated values
Crystal system   cubic
E_form   -433 meV/atom

a b c (Å): 5.3404 5.3404 5.3404
angles (deg): 60.00 60.00 60.00
With the nearest neighbours (Å) after each atom.
Fractional coordinates of all 6 atoms:
Pm (0.0000, 0.0000, 0.0000)  12 Pd 3.13, 4 Cu 3.27
Cu (0.7500, 0.7500, 0.7500)  12 Pd 3.13, 4 Pm 3.27
Pd (0.3755, 0.3755, 0.3755)  6 Pd 2.66-2.68
Pd (0.3755, 0.3755, 0.8735)  6 Pd 2.66-2.68
Pd (0.3755, 0.8735, 0.3755)  6 Pd 2.66-2.68
Pd (0.8735, 0.3755, 0.3755)  6 Pd 2.66-2.68


# PmCuPd

An optimized crystal structure of PmCuPd (PBE, the Alexandria database).

Calculated values
Crystal system   hexagonal
E_form   -545 meV/atom

a b c (Å): 4.4036 4.4036 3.6815
angles (deg): 90.00 90.00 120.00
With the nearest neighbours (Å) after each atom.
Fractional coordinates of all 3 atoms:
Pm (0.0000, 0.0000, 0.0000)  6 Cu 3.14, 6 Pd 3.14
Cu (0.3333, 0.6667, 0.5000)  3 Pd 2.54
Pd (0.6667, 0.3333, 0.5000)  3 Cu 2.54


# Pm3Cu4Pd4

An optimized crystal structure of Pm3Cu4Pd4 (PBE, the Alexandria database).

Calculated values
Crystal system   triclinic
E_form   -471 meV/atom

a b c (Å): 3.7180 4.2016 14.0459
angles (deg): 98.59 97.59 90.04
With the nearest neighbours (Å) after each atom.
Fractional coordinates of all 11 atoms:
Pm (0.0000, 0.0000, 0.0000)  8 Pd 3.11-3.12, 4 Cu 3.28-3.29
Pm (0.1456, 0.6476, 0.2929)  6 Pd 3.05-3.26, 6 Cu 3.10-3.31
Pm (0.8544, 0.3524, 0.7071)  6 Pd 3.05-3.26, 6 Cu 3.10-3.31
Cu (0.2533, 0.2528, 0.5084)  4 Pd 2.57-2.61, 4 Cu 2.80-2.83
Cu (0.4035, 0.9008, 0.8034)  3 Pd 2.50-2.52
Cu (0.5965, 0.0992, 0.1966)  3 Pd 2.50-2.52
Cu (0.7467, 0.7472, 0.4916)  4 Pd 2.57-2.61, 4 Cu 2.80-2.83
Pd (0.3110, 0.8090, 0.6205)  5 Cu 2.52-2.61
Pd (0.4528, 0.4498, 0.9018)  2 Cu 2.50, 1 Pd 2.70
Pd (0.5472, 0.5502, 0.0982)  2 Cu 2.50, 1 Pd 2.70
Pd (0.6890, 0.1910, 0.3795)  5 Cu 2.52-2.61


Ρ (computed, g/cm³): 7.123; 9.984; 7.375; 8.424; 8.051; 9.779; 8.459; 8.610